(1)
VASP calculation (PBE) on a geometry-optimized La2DyErHg2 structure.

Geometry as extended XYZ:
```
12
Lattice="5.165 0.000 0.000 0.000 9.637 0.000 0.000 0.000 7.168" Properties=species:S:1:pos:R:3 pbc="T T T"
La 0.000 0.534 0.000
La 0.000 9.103 3.584
La 2.582 1.659 2.211
La 2.582 7.977 5.795
Dy 2.582 4.308 6.939
Dy 2.582 5.329 3.355
Er 0.000 3.173 4.687
Er 0.000 6.464 1.103
Hg 0.000 3.531 1.605
Hg 0.000 6.105 5.189
Hg 2.582 1.596 5.379
Hg 2.582 8.040 1.795
```

- SG = No. 26
- E (eV/atom) = -3.6099
- formation energy (eV/atom) = -0.3393

=====

(2)
VASP calculation (PBE) on a geometry-optimized Li2DyErHg4 structure.

Geometry as extended XYZ:
```
8
Lattice="2.504 1.446 8.173 -2.504 1.446 8.173 0.000 -2.892 8.173" Properties=species:S:1:pos:R:3 pbc="T T T"
Li 0.000 0.000 6.139
Li 0.000 0.000 18.381
Dy 0.000 0.000 12.260
Er 0.000 0.000 0.000
Hg 0.000 0.000 3.049
Hg 0.000 0.000 9.180
Hg 0.000 0.000 15.340
Hg 0.000 0.000 21.471
```

- SG = No. 166
- E (eV/atom) = -2.2089
- formation energy (eV/atom) = -0.4339

=====

(3)
VASP calculation (PBE) on a geometry-optimized LiDyErHg structure.

Geometry as extended XYZ:
```
4
Lattice="0.000 3.676 3.676 3.676 0.000 3.676 3.676 3.676 0.000" Properties=species:S:1:pos:R:3 pbc="T T T"
Li 0.000 0.000 0.000
Dy 5.514 5.514 5.514
Er 1.838 1.838 1.838
Hg 3.676 3.676 3.676
```

- SG = No. 216
- E (eV/atom) = -3.0575
- formation energy (eV/atom) = -0.2124

=====

> Which of these has the highest formation energy?

LiDyErHg